The following is a PBE-GGA calculation of a relaxed SrLa2Pt2 crystal, from the Alexandria database.

Cell: 8.2533 8.2533 4.0924 Å, 90.00 90.00 90.00°
Fractional coordinates of all 10 atoms:
Pt 0.8630 0.6370 0.0000
Pt 0.3630 0.8630 0.0000
Pt 0.1370 0.3630 0.0000
Pt 0.6370 0.1370 0.0000
La 0.3451 0.1549 0.5000
La 0.6549 0.8451 0.5000
La 0.1549 0.6549 0.5000
La 0.8451 0.3451 0.5000
Sr 0.5000 0.5000 0.0000
Sr 0.0000 0.0000 0.0000

## Properties
The electronic total energy comes out at -5.6190 eV/atom. The calculation puts the energy above the most stable polymorph in this dataset at 0.0 meV/atom. As for the crystal system: tetragonal. The calculation puts the formation energy from the elements at -432 kJ/mol of formula units.